LaVH2N | GGA-PBE | relaxed

Computed properties:
E_tot: -6.562 eV per atom
Space group: P4/mmm

abc: 3.7418 3.7418 3.9714
angles: 90.00 90.00 90.00
With the nearest neighbours (Å) after each atom.
Fractional positions:
La 0.0000 0.0000 0.0000  4 N 2.65, 8 H 2.73
V 0.5000 0.5000 0.5000  4 H 1.87, 2 N 1.99
H 0.0000 0.5000 0.5000  2 V 1.87
H 0.5000 0.0000 0.5000  2 V 1.87
N 0.5000 0.5000 0.0000  2 V 1.99